No. 1
# Na2GaAu PBE relaxed
data_Na2GaAu
_space_group_name_H-M_alt 'I -4 2 d'
_space_group_IT_number 122
_space_group_name_Hall 'I -4 2bw'
_cell_length_a 9.910
_cell_length_b 9.910
_cell_length_c 4.965
_cell_angle_alpha 90.00
_cell_angle_beta 90.00
_cell_angle_gamma 90.00
loop_
_atom_site_label
_atom_site_type_symbol
_atom_site_fract_x
_atom_site_fract_y
_atom_site_fract_z
Na1 Na 0.130 0.250 0.125
Ga1 Ga 0.000 0.000 0.500
Au1 Au 0.000 0.000 0.000
# **Total magnetization**: 0.00 μB per formula unit
# **E_form**: -0.083 eV per atom

No. 2
# Na3Ga2Au2 PBE relaxed
data_Na3Ga2Au2
_space_group_name_H-M_alt 'I m m m'
_space_group_IT_number 71
_space_group_name_Hall '-I 2 2'
_cell_length_a 3.431
_cell_length_b 4.632
_cell_length_c 19.346
_cell_angle_alpha 90.00
_cell_angle_beta 90.00
_cell_angle_gamma 90.00
loop_
_atom_site_label
_atom_site_type_symbol
_atom_site_fract_x
_atom_site_fract_y
_atom_site_fract_z
Na1 Na 0.000 0.000 0.000
Na2 Na 0.000 0.500 0.202
Ga1 Ga 0.000 0.000 0.430
Au1 Au 0.000 0.500 0.367
# **Total magnetization**: 0.00 μB per formula unit
# **E_form**: -0.242 eV per atom

No. 3
# Na3Ga7Au4 PBE relaxed
data_Na3Ga7Au4
_space_group_name_H-M_alt 'C 1 2/m 1'
_space_group_IT_number 12
_cell_length_a 15.921
_cell_length_b 4.543
_cell_length_c 9.121
_cell_angle_alpha 90.00
_cell_angle_beta 122.02
_cell_angle_gamma 90.00
loop_
_space_group_symop_operation_xyz
'x,y,z'
'-x,-y,-z'
'-x,y,-z'
'x,-y,z'
'x+1/2,y+1/2,z'
'-x+1/2,-y+1/2,-z'
'-x+1/2,y+1/2,-z'
'x+1/2,-y+1/2,z'
loop_
_atom_site_label
_atom_site_type_symbol
_atom_site_fract_x
_atom_site_fract_y
_atom_site_fract_z
Na1 Na 0.000 0.000 0.000
Na2 Na 0.208 0.500 0.709
Ga1 Ga 0.000 0.000 0.500
Ga2 Ga 0.005 0.500 0.689
Ga3 Ga 0.147 0.000 0.437
Ga4 Ga 0.174 0.500 0.026
Au1 Au 0.130 0.000 0.849
Au2 Au 0.156 0.500 0.295
# **Total magnetization**: 0.00 μB per formula unit
# **E_form**: -0.286 eV per atom

No. 4
# Na2GaAu PBE relaxed
data_Na2GaAu
_space_group_name_H-M_alt 'R -3 m'
_space_group_IT_number 166
_space_group_name_Hall '-R 3 2"'
_cell_length_a 3.1186
_cell_length_b 3.1186
_cell_length_c 32.3583
_cell_angle_alpha 90.00
_cell_angle_beta 90.00
_cell_angle_gamma 120.00
loop_
_atom_site_label
_atom_site_type_symbol
_atom_site_fract_x
_atom_site_fract_y
_atom_site_fract_z
Na1 Na 0.0000 0.0000 0.0925
Ga1 Ga 0.0000 0.0000 0.0000
Au1 Au 0.0000 0.0000 0.5000
# **Total magnetization**: 0.00 μB per formula unit
# **E_form**: 0.027 eV per atom